A plane-wave DFT calculation with PBE-GGA was carried out for crystalline SrCdTeO at its relaxed geometry.

Cell and atoms, written as extended XYZ:
```
8
Lattice="5.921 0.000 0.000 0.000 5.921 0.000 0.000 0.000 7.432" Properties=species:S:1:pos:R:3 pbc="T T T"
Sr 1.480 4.441 0.000
Sr 4.441 1.480 0.000
Cd 1.480 1.480 1.932
Cd 4.441 4.441 5.500
Te 1.480 1.480 5.948
Te 4.441 4.441 1.484
O 1.480 1.480 3.997
O 4.441 4.441 3.436
```

Values from the calculation:
For the density, the calculation gives 4.4 g/cm3. The uncorrected energy comes out at -27.02 eV/cell.